Record 1
Below is a geometry-optimized Y2BeGe3Ir4 structure, with properties calculated at the PBE level.

total energy: -7.327 eV per atom
energy of formation from the pure elements: -0.732 eV per atom
size of the total moment: 0.000 μB/atom

Cell: 4.160 4.160 10.090 Å, 90.00 90.00 90.00°
Atoms (fractional coordinates):
Ge 0.500 0.000 0.864
Ir 0.500 0.500 0.000
Ir 0.500 0.000 0.623
Y 0.000 0.500 0.745
Y 0.500 0.000 0.255
Ir 0.000 0.500 0.377
Ge 0.000 0.000 0.500
Be 0.500 0.500 0.500
Ir 0.000 0.000 0.000
Ge 0.000 0.500 0.136

Record 2
Below is a geometry-optimized KBe3Ge structure, with properties calculated at the PBE level.

ΔE to the lowest computed polymorph: 7.20 eV per formula unit
total energy: -0.974 eV per atom
energy of formation from the pure elements: 2.405 eV per atom
size of the total moment: 0.000 μB/atom

Cell: 5.071 5.071 5.071 Å, 90.00 90.00 90.00°
Atoms (fractional coordinates):
Be 0.000 0.000 0.500
Be 0.500 0.000 0.000
Ge 0.500 0.500 0.500
K 0.000 0.000 0.000
Be 0.000 0.500 0.000

Record 3
Below is a geometry-optimized KBe3Ge structure, with properties calculated at the PBE level.

ΔE to the lowest computed polymorph: 0.00 eV per formula unit
total energy: -2.413 eV per atom
energy of formation from the pure elements: 0.966 eV per atom
size of the total moment: 0.000 μB/atom

Cell: 4.545 4.545 4.545 Å, 90.00 90.00 90.00°
Atoms (fractional coordinates):
Be 0.000 0.500 0.000
Be 0.500 0.000 0.000
Ge 0.000 0.000 0.000
Be 0.000 0.000 0.500
K 0.500 0.500 0.500